Entry 1:
The following is a DFT calculation (GGA-PBE) of a relaxed LiPtSeI crystal.

a = 3.846 Å, b = 3.723 Å, c = 7.531 Å
α = 90.00°, β = 90.60°, γ = 90.00°
Atoms (fractional coordinates):
Li  0.000  0.000  0.000
Pt  0.503  0.500  0.139
Se  0.506  0.000  0.337
I  0.495  0.500  0.789

Results
Space-group type: Pm, No. 6
E above lowest polymorph: 179 meV per atom
Formation energy without anion corrections: -0.40 eV per atom
E: -14.579 eV per cell

---

Entry 2:
The following is a DFT calculation (GGA-PBE) of a relaxed In2GaSeS crystal.

a = 5.518 Å, b = 5.518 Å, c = 4.744 Å
α = 90.00°, β = 90.00°, γ = 90.00°
Atoms (fractional coordinates):
In  0.000  0.500  0.000
In  0.500  0.000  0.000
Ga  0.000  0.000  0.000
Se  0.000  0.000  0.500
S  0.500  0.500  0.500

Results
Space-group type: P4/mmm, No. 123
Formation energy without anion corrections: 0.29 eV per atom
E: -14.670 eV per cell